Crystalline DyMo6Se8 at its relaxed geometry, computed with PBE.

Geometry as CIF:
```
data_DyMo6Se8
_chemical_formula_sum 'Dy1 Mo6 Se8'
_space_group_name_H-M_alt 'P 1'
_space_group_IT_number 1
_space_group_name_Hall 'P 1'
_cell_length_a 6.766
_cell_length_b 6.766
_cell_length_c 6.766
_cell_angle_alpha 89.16
_cell_angle_beta 89.16
_cell_angle_gamma 89.16
loop_
_atom_site_label
_atom_site_type_symbol
_atom_site_fract_x
_atom_site_fract_y
_atom_site_fract_z
_atom_site_occupancy
Mo1 Mo 0.576 0.441 0.767 1
Mo2 Mo 0.233 0.424 0.559 1
Mo3 Mo 0.559 0.233 0.424 1
Mo4 Mo 0.424 0.559 0.233 1
Mo5 Mo 0.441 0.767 0.576 1
Mo6 Mo 0.767 0.576 0.441 1
Se1 Se 0.877 0.243 0.631 1
Se2 Se 0.123 0.757 0.369 1
Se3 Se 0.243 0.631 0.877 1
Se4 Se 0.757 0.369 0.123 1
Se5 Se 0.369 0.123 0.757 1
Se6 Se 0.763 0.763 0.763 1
Se7 Se 0.237 0.237 0.237 1
Se8 Se 0.631 0.877 0.243 1
Dy1 Dy 0.000 0.000 0.000 1
```

Results
SG = No. 148
Raw total energy = -108.1 eV per formula unit
DOS at the Fermi energy = 7.31 states/eV per cell

***

Crystalline DySiMo at its relaxed geometry, computed with PBE.

Geometry as CIF:
```
data_DySiMo
_chemical_formula_sum 'Dy4 Si4 Mo4'
_space_group_name_H-M_alt 'P 1'
_space_group_IT_number 1
_space_group_name_Hall 'P 1'
_cell_length_a 4.186
_cell_length_b 7.404
_cell_length_c 9.588
_cell_angle_alpha 109.06
_cell_angle_beta 102.61
_cell_angle_gamma 90.00
loop_
_atom_site_label
_atom_site_type_symbol
_atom_site_fract_x
_atom_site_fract_y
_atom_site_fract_z
_atom_site_occupancy
Si1 Si 0.327 0.926 0.653 1
Si2 Si 0.645 0.507 0.290 1
Si3 Si 0.673 0.074 0.347 1
Si4 Si 0.355 0.493 0.710 1
Dy1 Dy 0.098 0.208 0.196 1
Dy2 Dy 0.551 0.742 0.103 1
Dy3 Dy 0.449 0.258 0.897 1
Dy4 Dy 0.902 0.792 0.804 1
Mo1 Mo 0.763 0.405 0.526 1
Mo2 Mo 0.255 0.155 0.510 1
Mo3 Mo 0.745 0.845 0.490 1
Mo4 Mo 0.237 0.595 0.474 1
```

Results
SG = No. 12
Raw total energy = -21.4 eV per formula unit
DOS at the Fermi energy = 8.39 states/eV per cell

***

Crystalline DySi2Mo at its relaxed geometry, computed with PBE.

Geometry as CIF:
```
data_DySi2Mo
_chemical_formula_sum 'Dy1 Si2 Mo1'
_space_group_name_H-M_alt 'P 1'
_space_group_IT_number 1
_space_group_name_Hall 'P 1'
_cell_length_a 3.626
_cell_length_b 3.626
_cell_length_c 7.011
_cell_angle_alpha 75.01
_cell_angle_beta 75.01
_cell_angle_gamma 60.00
loop_
_atom_site_label
_atom_site_type_symbol
_atom_site_fract_x
_atom_site_fract_y
_atom_site_fract_z
_atom_site_occupancy
Mo1 Mo 0.000 0.000 0.000 1
Si1 Si 0.738 0.738 0.787 1
Si2 Si 0.262 0.262 0.213 1
Dy1 Dy 0.500 0.500 0.500 1
```

Results
SG = No. 166
Raw total energy = -27.4 eV per formula unit
DOS at the Fermi energy = 2.42 states/eV per cell

***

Crystalline DySiMo at its relaxed geometry, computed with PBE.

Geometry as CIF:
```
data_DySiMo
_chemical_formula_sum 'Dy4 Si4 Mo4'
_space_group_name_H-M_alt 'P 1'
_space_group_IT_number 1
_space_group_name_Hall 'P 1'
_cell_length_a 3.604
_cell_length_b 8.141
_cell_length_c 8.141
_cell_angle_alpha 90.00
_cell_angle_beta 90.00
_cell_angle_gamma 90.00
loop_
_atom_site_label
_atom_site_type_symbol
_atom_site_fract_x
_atom_site_fract_y
_atom_site_fract_z
_atom_site_occupancy
Dy1 Dy 0.000 0.410 0.767 1
Dy2 Dy 0.500 0.767 0.590 1
Dy3 Dy 0.000 0.590 0.233 1
Dy4 Dy 0.500 0.233 0.410 1
Si1 Si 0.500 0.640 0.947 1
Si2 Si 0.000 0.947 0.360 1
Si3 Si 0.000 0.053 0.640 1
Si4 Si 0.500 0.360 0.053 1
Mo1 Mo 0.000 0.850 0.889 1
Mo2 Mo 0.500 0.111 0.850 1
Mo3 Mo 0.500 0.889 0.150 1
Mo4 Mo 0.000 0.150 0.111 1
```

Results
SG = No. 84
Raw total energy = -22.1 eV per formula unit
DOS at the Fermi energy = 11.14 states/eV per cell

***

no.,uncorrected formation energy (eV/atom)
1,-0.709
2,-0.165
3,-0.274
4,-0.427